[1]
Material: LaCdRh
Method: DFT, PBE
State: relaxed

extended XYZ file:
```
3
Lattice="-1.729 1.729 5.863 1.729 -1.729 5.863 1.729 1.729 -5.863" Properties=species:S:1:pos:R:3 pbc="T T T"
La 0.000 0.000 0.000
Cd 0.000 0.000 3.294
Rh 0.000 0.000 7.565
```

Summary:
Energy of formation ... -0.400 eV/atom
Symmetry ... No. 107



[2]
Material: HoAsH
Method: DFT, PBE
State: relaxed

extended XYZ file:
```
3
Lattice="-2.001 2.001 3.520 2.001 -2.001 3.520 2.001 2.001 -3.520" Properties=species:S:1:pos:R:3 pbc="T T T"
Ho 0.000 0.000 0.000
As 0.000 0.000 2.920
H 0.000 0.000 4.843
```

Summary:
Excess energy over the best structure of this formula in the dataset ... 391.2 meV/atom
Symmetry ... No. 107



[3]
Material: TcAsSe2Cl
Method: DFT, PBE
State: relaxed

extended XYZ file:
```
5
Lattice="5.046 0.000 0.000 0.000 5.046 0.000 0.000 0.000 4.743" Properties=species:S:1:pos:R:3 pbc="T T T"
Tc 0.000 0.000 0.000
As 2.523 2.523 0.000
Se 0.000 2.523 2.371
Se 2.523 0.000 2.371
Cl 2.523 2.523 2.371
```

Summary:
Excess energy over the best structure of this formula in the dataset ... 1137.1 meV/atom
Formation energy (no corrections) ... 1.426 eV per atom
Symmetry ... No. 123



[4]
Material: Na8B11C5
Method: DFT, PBE
State: relaxed

extended XYZ file:
```
24
Lattice="2.818 -8.599 0.000 2.818 8.599 0.000 0.000 0.000 5.127" Properties=species:S:1:pos:R:3 pbc="T T T"
Na 2.818 6.484 0.000
Na 1.409 2.133 2.566
Na 1.409 -2.133 2.566
Na 2.818 2.143 5.117
Na 2.818 -2.143 5.117
Na 4.228 2.133 2.566
Na 4.228 -2.133 2.566
Na 2.818 -6.484 0.000
B 0.000 0.000 1.624
B 0.000 0.000 3.349
B 1.409 4.299 0.688
B 2.818 4.291 1.789
B 2.818 4.295 3.471
B 1.476 0.000 4.337
B 1.409 -4.299 0.688
B 2.818 0.000 1.708
B 4.161 0.000 4.337
B 2.818 -4.291 1.789
B 2.818 -4.295 3.471
C 1.409 4.299 4.284
C 1.439 0.000 0.825
C 1.409 -4.299 4.284
C 2.818 0.000 3.385
C 4.198 0.000 0.825
```

Summary:
Energy of formation ... 0.128 eV/atom
Excess energy over the best structure of this formula in the dataset ... 26.6 meV/atom
Symmetry ... No. 35